PBE La2Sm8Th, relaxed; offset from the most stable computed form = 0 meV/atom; V = 378 Å³/cell; SG = No. 12; total magnetization = 0.00 Bohr magnetons per cell; E_form = 0.031 eV/atom
1.0
-0.2388 -3.4726 -3.8048
-3.8130 -5.2097 4.9943
-6.6659 6.6312 -2.1393
Sm La Th
8 2 1
direct
0.4110 0.5506 0.8220
0.1331 0.1735 0.2662
0.6788 0.9061 0.3576
0.5890 0.4494 0.1780
0.8669 0.8265 0.7338
0.0433 0.7331 0.0865
0.3212 0.0939 0.6424
0.9567 0.2669 0.9135
0.2282 0.6362 0.4564
0.7718 0.3638 0.5436
0.5000 0.0000 0.0000


PBE La9Sm2Th, relaxed; V = 427 Å³/cell; SG = No. 123; total magnetization = 0.00 Bohr magnetons per cell; E_form = 0.020 eV/atom
1.0
5.2189 0.0000 0.0000
0.0000 5.2189 0.0000
0.0000 0.0000 15.6675
La Sm Th
9 2 1
direct
0.5000 0.5000 0.0000
0.5000 0.0000 0.1619
0.5000 0.5000 0.6654
0.5000 0.0000 0.5000
0.0000 0.5000 0.1619
0.5000 0.5000 0.3346
0.0000 0.5000 0.5000
0.5000 0.0000 0.8381
0.0000 0.5000 0.8381
0.0000 0.0000 0.3342
0.0000 0.0000 0.6659
0.0000 0.0000 0.0000


PBE LaSmTm3Th, relaxed; V = 397 Å³/cell; SG = No. 12; total magnetization = 0.00 Bohr magnetons per cell; E_form = 0.085 eV/atom
1.0
-2.0422 3.5422 -3.9795
-9.6326 -2.9614 6.3976
-0.5410 4.4899 4.2741
La Sm Tm Th
2 2 6 2
direct
0.6291 0.2581 0.0550
0.3709 0.7419 0.9450
0.2919 0.5837 0.5411
0.7081 0.4163 0.4589
0.1286 0.2573 0.7005
0.8714 0.7427 0.2995
0.4565 0.9129 0.3387
0.7903 0.5806 0.8812
0.5435 0.0871 0.6613
0.2097 0.4194 0.1188
0.0501 0.1002 0.2716
0.9499 0.8998 0.7284


PBE La6SmTm2Th, relaxed; V = 703 Å³/cell; SG = No. 15; total magnetization = 0.00 Bohr magnetons per cell; E_form = 0.121 eV/atom
1.0
-4.2361 3.6590 -8.1889
3.2061 -6.3483 -5.3992
-8.3642 -1.1960 2.8882
La Tm Sm Th
12 4 2 2
direct
0.0587 0.7410 0.3996
0.3796 0.1988 0.9919
0.6892 0.9237 0.4908
0.3108 0.0763 0.5092
0.8108 0.5092 0.0763
0.1892 0.4908 0.9237
0.1204 0.0081 0.8012
0.6204 0.8012 0.0081
0.8796 0.9919 0.1988
0.9413 0.2590 0.6004
0.5587 0.3996 0.7410
0.4413 0.6004 0.2590
0.0528 0.3050 0.2181
0.4472 0.7819 0.6950
0.5528 0.2181 0.3050
0.9472 0.6950 0.7819
0.2500 0.9053 0.0947
0.7500 0.0947 0.9053
0.2500 0.4673 0.5327
0.7500 0.5327 0.4673


PBE LaSm5Tm2Th, relaxed; V = 606 Å³/cell; SG = No. 36; total magnetization = 0.00 Bohr magnetons per cell; E_form = 0.165 eV/atom
1.0
5.6833 0.0000 0.0000
-2.8417 10.0847 0.0000
0.0000 0.0000 10.5663
Sm Tm Th La
10 4 2 2
direct
0.5226 0.0452 0.2384
0.9845 0.9689 0.5242
0.2929 0.5858 0.7049
0.0155 0.0311 0.0242
0.7226 0.4452 0.8166
0.6141 0.2282 0.5271
0.2774 0.5548 0.3166
0.4774 0.9548 0.7384
0.3859 0.7718 0.0271
0.7071 0.4142 0.2049
0.8875 0.7750 0.2357
0.8853 0.7706 0.8177
0.1147 0.2294 0.3177
0.1125 0.2250 0.7357
0.1993 0.3986 0.0146
0.8007 0.6014 0.5146
0.4145 0.8290 0.4448
0.5855 0.1710 0.9448


PBE LaSmTmTh, relaxed; offset from the most stable computed form = 0 meV/atom; V = 133 Å³/cell; SG = No. 99; total magnetization = 0.00 Bohr magnetons per cell; E_form = 0.023 eV/atom
1.0
-2.1874 0.0050 -2.8799
-2.5512 -1.6812 1.9348
-3.7598 9.0096 2.8714
Tm La Th Sm
1 1 1 1
direct
0.5000 0.5000 0.3338
0.0000 0.0000 0.0765
0.0000 0.0000 0.5667
0.5000 0.5000 0.8076


PBE LaSm6Tm2Th, relaxed; V = 675 Å³/cell; SG = No. 15; total magnetization = 0.00 Bohr magnetons per cell; E_form = 0.142 eV/atom
1.0
-8.7940 0.0640 3.5805
-1.7663 -6.8932 -5.3324
3.6353 -2.0639 7.8483
Sm Tm Th La
12 4 2 2
direct
0.5607 0.7605 0.1122
0.8170 0.4438 0.9943
0.4393 0.2395 0.8878
0.1830 0.5562 0.0057
0.3170 0.9943 0.4438
0.6830 0.0057 0.5562
0.3862 0.5205 0.2949
0.9393 0.8878 0.2395
0.0607 0.1122 0.7605
0.1138 0.7051 0.4795
0.8862 0.2949 0.5205
0.6138 0.4795 0.7051
0.0546 0.3020 0.2013
0.5546 0.2013 0.3020
0.9454 0.6980 0.7987
0.4454 0.7987 0.6980
0.2500 0.4102 0.5898
0.7500 0.5898 0.4102
0.7500 0.0393 0.9607
0.2500 0.9607 0.0393


PBE LaSmTmTh2, relaxed; V = 356 Å³/cell; SG = No. 63; total magnetization = 0.00 Bohr magnetons per cell; E_form = 0.350 eV/atom
1.0
-2.5450 5.1965 -3.4535
-5.4113 -3.6853 -1.5576
-0.9036 4.3950 7.2790
Tm La Th Sm
2 2 4 2
direct
0.2500 0.6497 0.2995
0.7500 0.3503 0.7005
0.2500 0.2523 0.5047
0.7500 0.7477 0.4953
0.5000 0.7484 0.0000
0.0000 0.2516 0.0000
0.5000 0.2516 0.0000
0.0000 0.7484 0.0000
0.7500 0.1513 0.3026
0.2500 0.8487 0.6974


PBE LaSmTmTh, relaxed; offset from the most stable computed form = 113 meV/atom; V = 134 Å³/cell; SG = No. 216; total magnetization = 0.00 Bohr magnetons per cell; E_form = 0.136 eV/atom
1.0
5.7370 0.0000 0.0000
2.8685 4.9684 0.0000
2.8685 1.6561 4.6843
La Sm Tm Th
1 1 1 1
direct
0.2500 0.2500 0.2500
0.5000 0.5000 0.5000
0.0000 0.0000 0.0000
0.7500 0.7500 0.7500


PBE LaSm2Tm4Th, relaxed; V = 257 Å³/cell; SG = No. 10; total magnetization = 0.00 Bohr magnetons per cell; E_form = 0.032 eV/atom
1.0
-2.0483 3.4228 3.2013
2.5067 -2.1447 3.8968
10.1177 3.8909 2.3132
Tm Sm La Th
4 2 1 1
direct
0.5000 0.2565 0.7439
0.0000 0.7560 0.7440
0.5000 0.7435 0.2561
0.0000 0.2440 0.2560
0.5000 0.0000 0.5000
0.0000 0.0000 0.0000
0.5000 0.5000 0.0000
0.0000 0.5000 0.5000


PBE La5SmTm2Th, relaxed; V = 640 Å³/cell; SG = No. 36; total magnetization = 0.00 Bohr magnetons per cell; E_form = 0.131 eV/atom
1.0
-2.6881 -4.4560 -1.7981
10.6515 -1.8220 -2.9783
1.7870 -4.8558 9.3617
La Tm Th Sm
10 4 2 2
direct
0.2766 0.5531 0.3164
0.9969 0.9938 0.0080
0.6273 0.2545 0.5084
0.7228 0.4456 0.2010
0.3727 0.7455 0.0084
0.5002 0.0003 0.7577
0.4998 0.9997 0.2577
0.2772 0.5544 0.7010
0.0031 0.0062 0.5080
0.7234 0.4469 0.8164
0.1126 0.2251 0.7666
0.8879 0.7758 0.7493
0.8874 0.7749 0.2666
0.1121 0.2242 0.2493
0.2140 0.4279 0.0086
0.7860 0.5721 0.5086
0.6015 0.2030 0.0079
0.3985 0.7970 0.5079


PBE La2SmTm4Th, relaxed; V = 260 Å³/cell; SG = No. 123; total magnetization = 0.00 Bohr magnetons per cell; E_form = 0.032 eV/atom
1.0
-2.6075 -4.1762 1.5040
3.1046 -2.9626 -2.8439
9.1375 -3.9738 4.8078
Tm La Sm Th
4 2 1 1
direct
0.5000 0.7457 0.2546
0.0000 0.2457 0.2545
0.0000 0.7543 0.7455
0.5000 0.2543 0.7454
0.5000 0.0000 0.5000
0.0000 0.0000 0.0000
0.5000 0.5000 0.0000
0.0000 0.5000 0.5000